(1)
Here is a relaxed structure of Tb6PmDy6 from Alexandria. Energies are from PBE.

The space group is P6/mmm (No. 191) and the conventional cell measures 6.6158, 6.6158 and 11.4578 Å, with angles of 90.00, 90.00 and 120.00 degrees. The asymmetric unit holds Tb at (0.0000, 0.5000, 0.2457), Pm at (0.0000, 0.0000, 0.0000), Dy at (0.0000, 0.0000, 0.3522), Dy at (0.3333, 0.6667, 0.0000) and Dy at (0.3333, 0.6667, 0.5000).

The calculation puts the total magnetization at 1.83 μB per cell. The density of states at the Fermi level comes out at 2.06 states/eV/atom. Its energy is -4.34 eV per atom. The calculation puts the density at 7.9 g/cm3. The calculation puts the formation energy at 27.38 kJ per mole of atoms.

***

(2)
Here is a relaxed structure of Ac3Ge7Ir2 from Alexandria. Energies are from PBE.

The space group is P2/m (No. 10) and the conventional cell measures 4.4858, 4.5356 and 13.6465 Å, with angles of 90.00, 99.42 and 90.00 degrees. The asymmetric unit holds Ac at (0.0000, 0.0000, 0.0000), Ac at (0.3172, 0.5000, 0.6353), Ge at (0.0877, 0.5000, 0.1739), Ge at (0.2213, 0.0000, 0.4435), Ge at (0.4141, 0.0000, 0.8257), Ge at (0.5000, 0.5000, 0.0000) and Ir at (0.1276, 0.0000, 0.2587).

The calculation puts the total magnetization at 0.00 μB per cell. The density of states at the Fermi level comes out at 0.61 states/eV/atom. Its energy is -5.83 eV per atom. The calculation puts the density at 9.5 g/cm3. The calculation puts the formation energy at -61.02 kJ per mole of atoms.